A crystal of Zr2TaTc relaxed with PBEsol. Source: Alexandria, functional meta-GGA SCAN.

Computed properties:
The calculation puts the formation enthalpy at 0 K at -4.7 kJ/mol of atoms. The value obtained for the polymorph energy (0 for the lowest one) is 185 meV per atom. The calculation puts the total energy at -40.809 eV/atom.

Lattice parameters (Å, degrees): 2.9371 2.9371 9.3854 90.00 90.00 112.97
Fractional coordinates of all 4 atoms:
Ta 0.0000 0.0000 0.4732
Tc 0.5000 0.5000 0.2600
Zr 0.0000 0.0000 0.0301
Zr 0.5000 0.5000 0.7367

***

A crystal of LiZn2Tc relaxed with PBEsol. Source: Alexandria, functional meta-GGA SCAN.

Computed properties:
The calculation puts the formation enthalpy at 0 K at 8.3 kJ/mol of atoms. The value obtained for the polymorph energy (0 for the lowest one) is 226 meV per atom. The calculation puts the total energy at -16.034 eV/atom.

Lattice parameters (Å, degrees): 2.4847 4.2135 5.2278 90.00 90.00 90.00
Fractional coordinates of all 4 atoms:
Li 0.0000 0.0000 0.4965
Tc 0.5000 0.5000 0.7624
Zn 0.0000 0.0000 0.9754
Zn 0.5000 0.5000 0.2657

***

A crystal of Ba2SbRu relaxed with PBEsol. Source: Alexandria, functional meta-GGA SCAN.

Computed properties:
For the formation energy without anion corrections, the calculation gives 0.063 eV/atom. The calculation puts the total energy at -37.734 eV/atom.

Lattice parameters (Å, degrees): 4.7256 4.9158 4.9158 90.00 90.00 90.00
Fractional coordinates of all 4 atoms:
Ba 0.0000 0.0000 0.5000
Ba 0.0000 0.5000 0.0000
Ru 0.5000 0.5000 0.5000
Sb 0.5000 0.0000 0.0000

***

A crystal of NbTc3Br relaxed with PBEsol. Source: Alexandria, functional meta-GGA SCAN.

Computed properties:
For the formation energy without anion corrections, the calculation gives 1.570 eV/atom. The calculation puts the total energy at -29.984 eV/atom.

Lattice parameters (Å, degrees): 4.4445 4.4445 4.4445 90.00 90.00 90.00
Fractional coordinates of all 5 atoms:
Nb 0.5000 0.5000 0.5000
Tc 0.0000 0.5000 0.0000
Tc 0.0000 0.0000 0.5000
Tc 0.5000 0.0000 0.0000
Br 0.0000 0.0000 0.0000

***

A crystal of BTeSe2N relaxed with PBEsol. Source: Alexandria, functional meta-GGA SCAN.

Computed properties:
For the formation energy without anion corrections, the calculation gives 1.819 eV/atom. The calculation puts the total energy at -17.006 eV/atom.

Lattice parameters (Å, degrees): 3.9016 5.3120 5.3120 90.00 90.00 90.00
Fractional coordinates of all 5 atoms:
B 0.5000 0.5000 0.5000
Te 0.0000 0.0000 0.0000
Se 0.0000 0.0000 0.5000
Se 0.0000 0.5000 0.0000
N 0.5000 0.0000 0.0000

***

A crystal of ZrFeOs2 relaxed with PBEsol. Source: Alexandria, functional meta-GGA SCAN.

Computed properties:
The calculation puts the formation enthalpy at 0 K at 10.3 kJ/mol of atoms. The value obtained for the polymorph energy (0 for the lowest one) is 133 meV per atom. The calculation puts the total energy at -48.040 eV/atom.

Lattice parameters (Å, degrees): 2.8160 4.5603 4.8825 103.54 106.76 90.00
Fractional coordinates of all 4 atoms:
Fe 0.0000 0.5000 0.0000
Os 0.2739 0.2783 0.5479
Os 0.7261 0.7217 0.4521
Zr 0.5000 0.0000 0.0000

***

The magnetic moment results, record by record, are as follows: 0.00; 0.00; 0.96; 0.00; 0.01; 0.00 μB/f.u..